# CsGaCu2Hg PBEsol relaxed
# E_form (eV per atom): 0.282
# Uncorrected energy (eV per atom): -2.421
# Density (Mg/m³): 7.07
data_CsGaCu2Hg
_chemical_formula_sum 'Cs1 Ga1 Cu2 Hg1'
_symmetry_space_group_name_H-M 'P 4/m m m'
_symmetry_Int_Tables_number 123
_symmetry_space_group_name_Hall '-P 4 2'
_cell_length_a 4.846
_cell_length_b 4.846
_cell_length_c 5.304
_cell_angle_alpha 90.00
_cell_angle_beta 90.00
_cell_angle_gamma 90.00
loop_
_atom_site_label
_atom_site_type_symbol
_atom_site_fract_x
_atom_site_fract_y
_atom_site_fract_z
_atom_site_occupancy
Cs1 Cs 0.000 0.000 0.000 1
Ga1 Ga 0.500 0.500 0.500 1
Cu1 Cu 0.000 0.500 0.500 1
Hg1 Hg 0.500 0.500 0.000 1